Tm2Tl8Ni | PBE | optimized geometry

The structure in extended XYZ format:
```
11
Lattice="4.757 0.000 0.000 0.000 4.757 0.000 0.000 0.000 12.502" Properties=species:S:1:pos:R:3 pbc="T T T"
Tm 0.000 0.000 2.425
Tm 0.000 0.000 10.077
Tl 0.000 2.379 0.000
Tl 0.000 2.379 4.712
Tl 0.000 2.379 7.790
Tl 2.379 0.000 0.000
Tl 2.379 0.000 4.712
Tl 2.379 0.000 7.790
Tl 2.379 2.379 2.343
Tl 2.379 2.379 10.159
Ni 0.000 0.000 6.251
```

Summary:
Raw total energy: -3.112 eV per atom
Spin magnetization: 0.0 μB per formula unit
Space-group type: P4/mmm, No. 123
ρ: 11.9 Mg/m³


TbGaPd2 | PBE | optimized geometry

The structure in extended XYZ format:
```
16
Lattice="7.387 0.000 0.000 0.000 7.176 0.000 0.000 0.000 5.646" Properties=species:S:1:pos:R:3 pbc="T T T"
Tb 0.226 1.794 0.818
Tb 3.467 5.382 3.641
Tb 3.920 1.794 2.005
Tb 7.161 5.382 4.827
Ga 0.850 5.382 2.013
Ga 2.844 1.794 4.836
Ga 4.544 5.382 0.810
Ga 6.538 1.794 3.632
Pd 1.353 0.368 3.324
Pd 1.353 3.220 3.324
Pd 2.341 3.956 0.502
Pd 2.341 6.808 0.502
Pd 5.047 0.368 5.144
Pd 5.047 3.220 5.144
Pd 6.034 3.956 2.321
Pd 6.034 6.808 2.321
```

Summary:
Raw total energy: -5.400 eV per atom
Spin magnetization: 0.0 μB per formula unit
Space-group type: Pnma, No. 62
ρ: 9.8 Mg/m³


DyCuTe3Pb | PBE | optimized geometry

The structure in extended XYZ format:
```
24
Lattice="14.656 0.000 0.000 0.000 4.294 0.000 0.000 0.000 11.636" Properties=species:S:1:pos:R:3 pbc="T T T"
Dy 0.121 1.073 2.003
Dy 7.207 3.220 7.821
Dy 7.449 1.073 3.815
Dy 14.535 3.220 9.633
Cu 0.098 3.220 4.871
Cu 7.230 1.073 10.689
Cu 7.426 3.220 0.947
Cu 14.558 1.073 6.765
Te 1.560 3.220 7.128
Te 1.664 1.073 10.937
Te 2.061 3.220 2.985
Te 5.267 1.073 8.803
Te 5.664 3.220 5.119
Te 5.768 1.073 1.310
Te 8.888 3.220 10.326
Te 8.992 1.073 6.517
Te 9.389 3.220 2.833
Te 12.595 1.073 8.651
Te 12.992 3.220 0.699
Te 13.097 1.073 4.508
Pb 3.123 1.073 5.223
Pb 4.205 3.220 11.041
Pb 10.452 1.073 0.595
Pb 11.533 3.220 6.413
```

Summary:
Raw total energy: -4.283 eV per atom
Spin magnetization: 0.0 μB per formula unit
Space-group type: Pnma, No. 62
ρ: 7.4 Mg/m³


Y4Cd3Co2 | PBE | optimized geometry

The structure in extended XYZ format:
```
9
Lattice="7.355 0.000 0.000 0.000 3.692 0.000 -2.627 0.000 7.608" Properties=species:S:1:pos:R:3 pbc="T T T"
Y 0.097 0.000 1.708
Y 1.098 0.000 5.251
Y 3.631 0.000 2.357
Y 4.631 0.000 5.900
Cd -1.313 1.846 3.804
Cd 2.157 1.846 0.023
Cd 2.571 1.846 7.584
Co 1.549 1.846 3.018
Co 3.179 1.846 4.589
```

Summary:
Raw total energy: -5.058 eV per atom
DFT formation energy: -0.3068 eV/atom
Spin magnetization: 0.5 μB per formula unit
Space-group type: P2/m, No. 10
ρ: 6.5 Mg/m³


TaPAuO | PBE | optimized geometry

The structure in extended XYZ format:
```
8
Lattice="3.883 0.000 0.000 0.000 6.533 0.000 0.000 0.000 5.108" Properties=species:S:1:pos:R:3 pbc="T T T"
Ta 0.000 1.086 0.000
Ta 0.000 5.446 2.554
P 0.000 1.454 2.534
P 0.000 5.079 5.088
Au 1.941 2.823 2.884
Au 1.941 3.709 0.330
O 1.941 0.867 0.072
O 1.941 5.666 2.626
```

Summary:
Raw total energy: -7.234 eV per atom
Spin magnetization: 0.0 μB per formula unit
Space-group type: Pmc2_1, No. 26
ρ: 10.9 Mg/m³


Tb3HoPd4 | PBE | optimized geometry

The structure in extended XYZ format:
```
8
Lattice="5.608 0.000 0.000 0.000 4.562 0.000 -0.026 0.000 6.965" Properties=species:S:1:pos:R:3 pbc="T T T"
Tb 0.000 0.000 0.000
Tb 1.186 0.000 3.478
Tb 2.786 2.281 6.017
Ho 3.997 2.281 2.531
Pd 0.043 2.281 5.032
Pd 1.129 2.281 1.564
Pd 2.878 0.000 0.996
Pd 3.922 0.000 4.429
```

Summary:
Raw total energy: -5.819 eV per atom
DFT formation energy: -0.9236 eV/atom
Spin magnetization: 0.0 μB per formula unit
Space-group type: Pm, No. 6
ρ: 9.9 Mg/m³